1.
This record from the Alexandria database describes Sc4InRu2Rh after structural relaxation. The functional is PBE-GGA.

a b c (Å): 8.115 8.115 8.115
angles (deg): 33.28 33.28 33.28
Fractional coordinates of all 8 atoms:
Sc1 0.118 0.118 0.118
Sc2 0.370 0.370 0.370
Sc3 0.630 0.630 0.630
Sc4 0.882 0.882 0.882
In1 0.500 0.500 0.500
Ru1 0.249 0.249 0.249
Ru2 0.751 0.751 0.751
Rh1 0.000 0.000 0.000

## Properties
space group: R-3m
DFT total energy: -7.389 eV per atom



2.
This record from the Alexandria database describes LaEuGdMg after structural relaxation. The functional is PBE-GGA.

a b c (Å): 8.068 8.068 8.068
angles (deg): 90.00 90.00 90.00
Fractional coordinates of all 16 atoms:
La1 0.000 0.000 0.000
La2 0.000 0.500 0.500
La3 0.500 0.000 0.500
La4 0.500 0.500 0.000
Eu1 0.250 0.250 0.750
Eu2 0.250 0.750 0.250
Eu3 0.750 0.250 0.250
Eu4 0.750 0.750 0.750
Gd1 0.000 0.000 0.500
Gd2 0.000 0.500 0.000
Gd3 0.500 0.000 0.000
Gd4 0.500 0.500 0.500
Mg1 0.250 0.250 0.250
Mg2 0.250 0.750 0.750
Mg3 0.750 0.250 0.750
Mg4 0.750 0.750 0.250

## Properties
space group: F-43m
DFT total energy: -7.679 eV per atom



3.
This record from the Alexandria database describes Ca3Nd4SmSe8 after structural relaxation. The functional is PBE-GGA.

a b c (Å): 8.462 8.462 8.462
angles (deg): 59.37 59.37 59.37
Fractional coordinates of all 16 atoms:
Ca1 0.000 0.500 0.500
Ca2 0.500 0.000 0.500
Ca3 0.500 0.500 0.000
Nd1 0.000 0.000 0.500
Nd2 0.000 0.500 0.000
Nd3 0.500 0.000 0.000
Nd4 0.500 0.500 0.500
Sm1 0.000 0.000 0.000
Se1 0.248 0.248 0.746
Se2 0.248 0.746 0.248
Se3 0.252 0.252 0.252
Se4 0.254 0.752 0.752
Se5 0.746 0.248 0.248
Se6 0.748 0.748 0.748
Se7 0.752 0.254 0.752
Se8 0.752 0.752 0.254

## Properties
space group: R-3m
DFT total energy: -5.489 eV per atom



4.
This record from the Alexandria database describes KSmIn4 after structural relaxation. The functional is PBE-GGA.

a b c (Å): 6.203 6.203 6.203
angles (deg): 60.00 60.00 60.00
Fractional coordinates of all 6 atoms:
K1 0.000 0.000 0.000
Sm1 0.750 0.750 0.750
In1 0.375 0.375 0.375
In2 0.375 0.375 0.874
In3 0.375 0.874 0.375
In4 0.874 0.375 0.375

## Properties
space group: F-43m
DFT total energy: -2.984 eV per atom



5.
This record from the Alexandria database describes ScPIr2 after structural relaxation. The functional is PBE-GGA.

a b c (Å): 4.056 4.056 3.632
angles (deg): 90.00 90.00 90.00
Fractional coordinates of all 4 atoms:
Sc1 0.000 0.000 0.000
P1 0.500 0.500 0.000
Ir1 0.000 0.500 0.500
Ir2 0.500 0.000 0.500

## Properties
space group: P4/mmm
DFT total energy: -7.922 eV per atom